# GGA-PBE MgIn2BiPd, relaxed
# N(E_F) in states/eV/atom: 0.79
# M_tot in μB per atom: 0.000
# E_tot in eV per atom: -3.3348
# Energy of formation in eV/f.u.: -0.5
data_MgIn2BiPd
_cell_length_a 5.179
_cell_length_b 5.179
_cell_length_c 5.078
_cell_angle_alpha 90.00
_cell_angle_beta 90.00
_cell_angle_gamma 90.00
_symmetry_space_group_name_H-M 'P 4/m m m'
_symmetry_Int_Tables_number 123
_symmetry_space_group_name_Hall '-P 4 2'
loop_
_atom_site_label
_atom_site_fract_x
_atom_site_fract_y
_atom_site_fract_z
Mg1 0.000 0.000 0.000
In1 0.000 0.500 0.500
Bi1 0.500 0.500 0.000
Pd1 0.000 0.000 0.500